# 1
A PBEsol-optimized structure of Ni3OsC. Source: Alexandria via LeMat-Bulk, functional meta-GGA SCAN.

POSCAR file:
```
Ni3OsC
1.0
4.3976 0.0000 0.0000
0.0000 4.3976 0.0000
0.0000 0.0000 4.3976
C Ni Os
1 3 1
Cartesian
2.1988 2.1988 2.1988
0.0000 2.1988 0.0000
2.1988 0.0000 0.0000
0.0000 0.0000 2.1988
0.0000 0.0000 0.0000
```

final energy = -116.624 eV per formula unit

***

# 2
A PBEsol-optimized structure of Ni3PC. Source: Alexandria via LeMat-Bulk, functional meta-GGA SCAN.

POSCAR file:
```
Ni3PC
1.0
3.7329 0.0000 0.0000
0.0000 3.7329 0.0000
0.0000 0.0000 3.7329
Ni P C
3 1 1
Cartesian
1.8664 0.0000 0.0000
0.0000 1.8664 0.0000
0.0000 0.0000 1.8664
1.8664 1.8664 1.8664
0.0000 0.0000 0.0000
```

final energy = -67.912 eV per formula unit

***

# 3
A PBEsol-optimized structure of NiPdC2. Source: Alexandria via LeMat-Bulk, functional meta-GGA SCAN.

POSCAR file:
```
NiPdC2
1.0
3.7100 0.0000 0.0000
1.8550 3.2129 0.0000
1.8550 1.0710 3.0292
Ni Pd C
1 1 2
Cartesian
0.0000 0.0000 0.0000
3.7100 2.1419 1.5146
1.8550 1.0710 0.7573
5.5649 3.2129 2.2719
```

final energy = -62.128 eV per formula unit

***

# 4
A PBEsol-optimized structure of Ni3PtC. Source: Alexandria via LeMat-Bulk, functional meta-GGA SCAN.

POSCAR file:
```
Ni3PtC
1.0
-0.3522 2.2058 -3.0153
-3.4256 1.0179 1.1449
1.4909 2.8600 1.9181
Ni C Pt
3 1 1
Cartesian
0.7455 1.4300 0.9590
-1.7128 0.5090 0.5724
-0.1761 1.1029 -1.5076
0.0000 0.0000 0.0000
-1.1434 3.0419 0.0238
```

final energy = -127.981 eV per formula unit

***

# 5
A PBEsol-optimized structure of RbNiC2. Source: Alexandria via LeMat-Bulk, functional meta-GGA SCAN.

POSCAR file:
```
RbNiC2
1.0
-1.9145 3.4554 -1.3480
-4.0303 0.6323 0.8828
-1.1001 2.9715 2.7170
Ni Rb C
1 1 2
Cartesian
0.0000 0.0000 0.0000
-3.5224 3.5296 1.1259
-5.2836 5.2944 1.6888
-1.7612 1.7648 0.5629
```

final energy = -45.171 eV per formula unit

***

# 6
A PBEsol-optimized structure of TiNi2RhC. Source: Alexandria via LeMat-Bulk, functional meta-GGA SCAN.

POSCAR file:
```
TiNi2RhC
1.0
-2.6446 -1.6563 -1.9772
2.4615 -2.4668 -1.2258
-0.8637 -2.4599 3.2159
Ni Rh Ti C
2 1 1 1
Cartesian
-1.3223 -0.8281 -0.9886
1.2307 -1.2334 -0.6129
-0.5234 -3.2915 0.0064
-0.4319 -1.2300 1.6079
0.0000 0.0000 0.0000
```

final energy = -93.189 eV per formula unit

***

# 7
A PBEsol-optimized structure of Ni2CS2. Source: Alexandria via LeMat-Bulk, functional meta-GGA SCAN.

POSCAR file:
```
Ni2CS2
1.0
-3.5431 -0.0413 -0.3917
0.0905 -3.5358 -0.4459
1.1761 1.1382 5.4642
S Ni C
2 2 1
Cartesian
-0.4130 -0.4881 3.7868
-1.8636 -1.9508 0.8398
-0.2299 -2.0931 2.2998
-2.0467 -0.3458 2.3268
0.0000 0.0000 0.0000
```

uncorrected formation energy = 1.15 eV per atom

***

# 8
A PBEsol-optimized structure of NiSb3C. Source: Alexandria via LeMat-Bulk, functional meta-GGA SCAN.

POSCAR file:
```
NiSb3C
1.0
-1.4839 -0.3837 -4.5637
-2.9421 -3.5965 1.2590
-3.5097 3.1771 0.8741
C Sb Ni
1 3 1
Cartesian
-3.9679 -0.4016 -1.2153
-0.7419 -0.1918 -2.2818
-1.7549 1.5885 0.4370
-1.4711 -1.7983 0.6295
0.0000 0.0000 0.0000
```

uncorrected formation energy = 1.57 eV per atom

***

# 9
A PBEsol-optimized structure of ScNiC2. Source: Alexandria via LeMat-Bulk, functional meta-GGA SCAN.

POSCAR file:
```
ScNiC2
1.0
3.3280 0.0000 0.0000
0.0000 3.3280 0.0000
0.0000 0.0000 7.1924
Ni C Sc
2 4 2
Cartesian
0.0000 0.0000 0.0000
1.6640 1.6640 0.0000
1.6640 0.0000 2.5507
1.6640 0.0000 1.1740
0.0000 1.6640 4.6417
0.0000 1.6640 6.0184
1.6640 0.0000 4.7344
0.0000 1.6640 2.4580
```

final energy = -52.020 eV per formula unit

***

# 10
A PBEsol-optimized structure of Ti2SiNiC. Source: Alexandria via LeMat-Bulk, functional meta-GGA SCAN.

POSCAR file:
```
Ti2SiNiC
1.0
3.9613 0.0000 0.0000
0.0000 4.5213 0.0000
0.0000 0.0000 4.5213
Ti Si C Ni
2 1 1 1
Cartesian
0.0000 2.2606 0.0000
0.0000 0.0000 2.2606
0.0000 0.0000 0.0000
1.9806 2.2606 2.2606
1.9806 0.0000 0.0000
```

uncorrected formation energy = 1.34 eV per atom

***

# 11
A PBEsol-optimized structure of Ta4Ni2C. Source: Alexandria via LeMat-Bulk, functional meta-GGA SCAN.

POSCAR file:
```
Ta4Ni2C
1.0
8.1691 0.0000 0.0000
4.0845 7.0746 0.0000
4.0845 2.3582 6.6700
Ta Ni C
16 8 4
Cartesian
9.6726 5.5845 2.1074
6.6656 3.8484 4.5626
6.1268 1.1791 0.8338
9.6726 3.8484 4.5626
2.0423 1.1791 0.8338
10.7501 6.2066 6.2301
8.1691 2.9803 2.1074
8.1691 6.4525 4.5626
4.0845 2.3582 4.1688
12.2536 8.8108 6.2301
10.7501 7.9427 3.7749
12.2536 5.3385 3.7749
13.7571 6.2066 6.2301
13.7571 7.9427 3.7749
4.0845 4.7164 0.8338
6.6656 5.5845 2.1074
9.4844 8.6735 6.1331
2.7693 3.1176 2.2045
4.0845 0.8395 2.2045
15.0229 8.6735 6.1331
12.2536 7.0746 1.6109
12.2536 3.8770 6.1331
4.0845 2.3582 0.0566
5.3998 3.1176 2.2045
8.1691 2.3582 4.1688
8.1691 4.7164 0.8338
10.2113 5.8955 4.1688
6.1268 5.8955 4.1688
```

final energy = -311.914 eV per formula unit

***

# 12
A PBEsol-optimized structure of NiTeC3. Source: Alexandria via LeMat-Bulk, functional meta-GGA SCAN.

POSCAR file:
```
NiTeC3
1.0
4.0829 0.0000 0.0000
0.0000 4.0829 0.0000
0.0000 0.0000 4.0829
C Ni Te
3 1 1
Cartesian
2.0414 0.0000 0.0000
0.0000 0.0000 2.0414
0.0000 2.0414 0.0000
2.0414 2.0414 2.0414
0.0000 0.0000 0.0000
```

uncorrected formation energy = 3.35 eV per atom

***

| no. | D(E_F) (states/eV/cell) | M_tot (μB per formula unit) |
| --- | --- | --- |
| 1 | 6.2 | 0.4 |
| 2 | 1.7 | 0.0 |
| 3 | 2.6 | 0.0 |
| 4 | 5.6 | 0.0 |
| 5 | 2.7 | 0.0 |
| 6 | 4.8 | 0.0 |
| 7 | 3.6 | 0.7 |
| 8 | 2.9 | 0.0 |
| 9 | 3.3 | 0.0 |
| 10 | 4.2 | 0.0 |
| 11 | 26.6 | 0.0 |
| 12 | 2.6 | 0.0 |